1.
This record from Alexandria describes a relaxed LiHoCd11 crystal. The functional is PBE-GGA.

## Properties
- N(E_F) (states/eV/cell) = 4.82

a = 5.8482 Å, b = 7.5672 Å, c = 7.5849 Å
α = 81.55°, β = 67.32°, γ = 67.60°
Sites, in units of the cell vectors:
Li 0.5000 0.5000 0.0000
Ho 0.0000 0.0000 0.0000
Cd 0.3014 0.2168 0.2081
Cd 0.6986 0.7832 0.7919
Cd 0.4905 0.7832 0.2081
Cd 0.5095 0.2168 0.7919
Cd 0.3557 0.6466 0.6584
Cd 0.6443 0.3534 0.3416
Cd 0.9860 0.3534 0.6584
Cd 0.0140 0.6466 0.3416
Cd 0.0000 0.5000 0.0000
Cd 0.5000 0.0000 0.5000
Cd 0.0000 0.0000 0.5000

=====

2.
This record from Alexandria describes a relaxed Sc2CoBr crystal. The functional is PBE-GGA.

## Properties
- formation energy without anion corrections (eV/atom) = -0.1258
- ΔE to the lowest computed polymorph (eV/atom) = 0.517
- N(E_F) (states/eV/cell) = 2.54

a = 9.4408 Å, b = 9.4408 Å, c = 9.4408 Å
α = 20.36°, β = 20.36°, γ = 20.36°
Sites, in units of the cell vectors:
Br 0.5080 0.5080 0.5080
Co 0.7383 0.7383 0.7383
Sc 0.0102 0.0102 0.0102
Sc 0.2435 0.2435 0.2435

=====

3.
This record from Alexandria describes a relaxed Be2ZnC crystal. The functional is PBE-GGA.

## Properties
- ΔE to the lowest computed polymorph (eV/atom) = 0.000
- N(E_F) (states/eV/cell) = 0.10

a = 5.4252 Å, b = 5.4252 Å, c = 5.4302 Å
α = 60.03°, β = 60.03°, γ = 90.00°
Sites, in units of the cell vectors:
Be 0.3749 0.1250 0.2500
Be 0.3751 0.6250 0.2500
Be 0.3750 0.6251 0.7500
Be 0.8750 0.6249 0.7500
Zn 0.0000 0.0000 0.0000
Zn 0.7500 0.2500 0.5000
C 0.5000 0.5000 0.0000
C 0.2500 0.7500 0.5000

=====

4.
This record from Alexandria describes a relaxed W2Au crystal. The functional is PBE-GGA.

## Properties
- ΔE to the lowest computed polymorph (eV/atom) = 1.175
- N(E_F) (states/eV/cell) = 15.47

a = 6.2601 Å, b = 6.2601 Å, c = 6.2601 Å
α = 90.00°, β = 90.00°, γ = 90.00°
Sites, in units of the cell vectors:
Au 0.0000 0.0000 0.0000
Au 0.0000 0.5000 0.5000
Au 0.5000 0.0000 0.5000
Au 0.5000 0.5000 0.0000
W 0.1082 0.6082 0.8918
W 0.1082 0.8918 0.3918
W 0.3918 0.1082 0.8918
W 0.3918 0.3918 0.3918
W 0.6082 0.6082 0.6082
W 0.6082 0.8918 0.1082
W 0.8918 0.1082 0.6082
W 0.8918 0.3918 0.1082

=====

5.
This record from Alexandria describes a relaxed P2RhS crystal. The functional is PBE-GGA.

## Properties
- formation energy without anion corrections (eV/atom) = 0.0555
- N(E_F) (states/eV/cell) = 4.12

a = 5.3512 Å, b = 5.3512 Å, c = 6.6111 Å
α = 66.13°, β = 66.13°, γ = 90.00°
Sites, in units of the cell vectors:
P 0.6518 0.1250 0.2500
P 0.0982 0.6250 0.2500
P 0.3750 0.3482 0.7500
P 0.8750 0.9018 0.7500
S 0.5000 0.5000 0.0000
S 0.2500 0.7500 0.5000
Rh 0.0000 0.0000 0.0000
Rh 0.7500 0.2500 0.5000

=====

no.,DFT total energy (eV/cell),total magnetic moment (μB per cell)
1,-18.099,0.0
2,-21.945,1.7
3,-32.424,0.0
4,-98.253,0.0
5,-44.153,0.0